## LiZn4Sn4O8 (PBE-GGA)

Data for an optimized crystal structure of LiZn4Sn4O8.

```
data_LiZn4Sn4O8
_chemical_formula_sum 'Li2 Zn8 Sn8 O16'
_cell_length_a 17.202
_cell_length_b 3.355
_cell_length_c 11.531
_cell_angle_alpha 90.00
_cell_angle_beta 126.00
_cell_angle_gamma 90.00
_symmetry_space_group_name_H-M 'C 1 m 1'
_symmetry_Int_Tables_number 8
_symmetry_space_group_name_Hall 'C -2y'
loop_
_atom_site_label
_atom_site_type_symbol
_atom_site_fract_x
_atom_site_fract_y
_atom_site_fract_z
Li1 Li 0.000 0.000 0.000
Zn1 Zn 0.098 0.500 0.524
Zn2 Zn 0.154 0.000 0.326
Zn3 Zn 0.329 0.500 0.861
Zn4 Zn 0.396 0.000 0.694
Sn1 Sn 0.114 0.000 0.776
Sn2 Sn 0.197 0.500 0.085
Sn3 Sn 0.370 0.500 0.439
Sn4 Sn 0.430 0.000 0.202
O1 O 0.041 0.000 0.544
O2 O 0.094 0.500 0.346
O3 O 0.136 0.000 0.135
O4 O 0.192 0.500 0.742
O5 O 0.297 0.000 0.473
O6 O 0.398 0.000 0.861
O7 O 0.426 0.500 0.083
O8 O 0.450 0.500 0.670
```

Calculated values
formation energy from raw total energies: -1.227 eV per atom
energy above the lowest structure with this stoichiometry: 0.044 eV per atom
electronic total energy: -4.914 eV/atom